(1)
Density functional theory data (PBE-GGA) for a relaxed structure of ThMgInHg.

Unit cell a=5.261 b=5.261 c=5.261 alpha=60.00 beta=60.00 gamma=60.00
Element x y z (fractional)
Th1 0.000 0.000 0.000
Mg1 0.500 0.500 0.500
In1 0.750 0.750 0.750
Hg1 0.250 0.250 0.250

Results
- SG: F-43m (216)
- Density of states at the Fermi level: 1.12 states/eV per atom
- Formation enthalpy at 0 K: -0.210 eV/atom

=====

(2)
Density functional theory data (PBE-GGA) for a relaxed structure of Mn2CoBr.

Unit cell a=5.011 b=5.011 c=5.011 alpha=142.47 beta=124.56 gamma=68.88
Element x y z (fractional)
Mn1 0.239 0.239 0.000
Mn2 0.761 0.761 0.000
Co1 0.000 0.500 0.500
Br1 0.500 0.000 0.500

Results
- SG: Immm (71)
- Density of states at the Fermi level: 0.61 states/eV per atom
- E_form (uncorrected): 0.61 eV/atom

=====

Number 1: calculated density 9.2 g/cm3. Number 2: calculated density 6.7 g/cm3.